(1)
{"formula": "YReAu2", "functional": "GGA-PBEsol", "state": "optimized geometry", "mass_density_g_cm3": 14.967, "e_above_lowest_polymorph_ev_per_atom": 0.115, "formation_enthalpy_0k_mev_per_atom": 149, "lattice": [[-4.5652, -1.1880, 0.0205], [-1.4658, -3.7748, -2.4198], [-1.4203, -3.8681, 2.2963]], "species": ["Au", "Au", "Re", "Y"], "frac_coords": [[0.2500, 0.2500, 0.2500], [0.7500, 0.7500, 0.7500], [0.0000, 0.0000, 0.0000], [0.5000, 0.5000, 0.5000]]}

***

(2)
{"formula": "KSrI2O", "functional": "GGA-PBEsol", "state": "optimized geometry", "mass_density_g_cm3": 3.830, "raw_formation_energy_ev_per_atom": -0.740, "lattice": [[4.6065, 0.0000, 0.0000], [0.0000, 6.1094, 0.0000], [0.0000, 0.0000, 6.1094]], "species": ["O", "I", "I", "K", "Sr"], "frac_coords": [[0.5000, 0.0000, 0.0000], [0.0000, 0.5000, 0.0000], [0.0000, 0.0000, 0.5000], [0.0000, 0.0000, 0.0000], [0.5000, 0.5000, 0.5000]]}

***

(3)
{"formula": "Ta2MnTc", "functional": "GGA-PBEsol", "state": "optimized geometry", "mass_density_g_cm3": 14.462, "formation_enthalpy_0k_mev_per_atom": -337, "lattice": [[3.0936, 0.0000, 0.0000], [0.0000, 3.0936, 0.0000], [0.0000, 0.0000, 6.1766]], "species": ["Mn", "Ta", "Ta", "Tc"], "frac_coords": [[0.5000, 0.5000, 0.5000], [0.0000, 0.0000, 0.7433], [0.0000, 0.0000, 0.2567], [0.5000, 0.5000, 0.0000]]}

***

(4)
{"formula": "ScBN2F", "functional": "GGA-PBEsol", "state": "optimized geometry", "mass_density_g_cm3": 4.274, "raw_formation_energy_ev_per_atom": -0.888, "lattice": [[3.3058, 0.0000, 0.0000], [0.0000, 3.3058, 0.0000], [0.0000, 0.0000, 3.6539]], "species": ["N", "N", "B", "F", "Sc"], "frac_coords": [[0.0000, 0.5000, 0.0000], [0.5000, 0.0000, 0.0000], [0.0000, 0.0000, 0.0000], [0.0000, 0.0000, 0.5000], [0.5000, 0.5000, 0.5000]]}

***

(5)
{"formula": "CsIn2AsS", "functional": "GGA-PBEsol", "state": "optimized geometry", "mass_density_g_cm3": 3.606, "raw_formation_energy_ev_per_atom": 1.177, "lattice": [[5.3037, 0.0000, 0.0000], [0.0000, 6.3851, 0.0000], [0.0000, 0.0000, 6.3851]], "species": ["In", "In", "S", "Cs", "As"], "frac_coords": [[0.0000, 0.5000, 0.0000], [0.0000, 0.0000, 0.5000], [0.5000, 0.0000, 0.0000], [0.0000, 0.0000, 0.0000], [0.5000, 0.5000, 0.5000]]}

***

(6)
{"formula": "Ca2YAu", "functional": "GGA-PBEsol", "state": "optimized geometry", "mass_density_g_cm3": 5.266, "e_above_lowest_polymorph_ev_per_atom": 0.104, "formation_enthalpy_0k_mev_per_atom": -294, "lattice": [[3.5499, 0.0000, 0.0000], [0.0000, 3.5499, 0.0000], [0.0000, 0.0000, 9.1587]], "species": ["Y", "Ca", "Ca", "Au"], "frac_coords": [[0.5000, 0.5000, 0.5000], [0.0000, 0.0000, 0.1915], [0.0000, 0.0000, 0.8085], [0.5000, 0.5000, 0.0000]]}

***

(7)
{"formula": "YMgCu2", "functional": "GGA-PBEsol", "state": "optimized geometry", "mass_density_g_cm3": 5.353, "formation_enthalpy_0k_mev_per_atom": -113, "lattice": [[-3.2358, -2.0198, -1.0289], [4.5244, -4.0944, 1.3936], [-1.9028, -0.0395, 6.0615]], "species": ["Mg", "Mg", "Cu", "Cu", "Cu", "Cu", "Y", "Y"], "frac_coords": [[0.2756, 0.5512, 0.7500], [0.7244, 0.4488, 0.2500], [0.1036, 0.2072, 0.4411], [0.1036, 0.2072, 0.0589], [0.8964, 0.7928, 0.5589], [0.8964, 0.7928, 0.9411], [0.4458, 0.8916, 0.2500], [0.5542, 0.1084, 0.7500]]}

***

(8)
{"formula": "Sr2TaTe", "functional": "GGA-PBEsol", "state": "optimized geometry", "mass_density_g_cm3": 6.720, "e_above_lowest_polymorph_ev_per_atom": 0.186, "raw_formation_energy_ev_per_atom": 0.394, "lattice": [[-3.5693, -0.2191, -3.0206], [0.8101, -4.5677, -0.6259], [-2.0216, 1.2279, 5.9268]], "species": ["Ta", "Sr", "Sr", "Te"], "frac_coords": [[0.5000, 0.5000, 0.0000], [0.0000, 0.0000, 0.0000], [0.7500, 0.2500, 0.5000], [0.2500, 0.7500, 0.5000]]}

***

(9)
{"formula": "InHg3", "functional": "GGA-PBEsol", "state": "optimized geometry", "mass_density_g_cm3": 12.524, "formation_enthalpy_0k_mev_per_atom": -19, "lattice": [[-4.2822, 1.9804, 4.5611], [1.3680, -6.3836, -0.6647], [11.3943, 1.3908, 10.0937]], "species": ["Hg", "Hg", "Hg", "Hg", "Hg", "Hg", "Hg", "Hg", "Hg", "Hg", "Hg", "Hg", "Hg", "Hg", "Hg", "Hg", "Hg", "Hg", "In", "In", "In", "In", "In", "In"], "frac_coords": [[0.6669, 0.8335, 0.9169], [0.1665, 0.3331, 0.9169], [0.6669, 0.8335, 0.5831], [0.3331, 0.1665, 0.4169], [0.8335, 0.1665, 0.0831], [0.9967, 0.4983, 0.2500], [0.1665, 0.8335, 0.5831], [0.1665, 0.3331, 0.5831], [0.4983, 0.9967, 0.7500], [0.5017, 0.4983, 0.2500], [0.0033, 0.5017, 0.7500], [0.3331, 0.1665, 0.0831], [0.8335, 0.6669, 0.0831], [0.1665, 0.8335, 0.9169], [0.8335, 0.1665, 0.4169], [0.5017, 0.0033, 0.2500], [0.4983, 0.5017, 0.7500], [0.8335, 0.6669, 0.4169], [0.3333, 0.6667, 0.4168], [0.6667, 0.3333, 0.9168], [0.0000, 0.0000, 0.2500], [0.0000, 0.0000, 0.7500], [0.6667, 0.3333, 0.5832], [0.3333, 0.6667, 0.0832]]}

***

(10)
{"formula": "Tc3PCl", "functional": "GGA-PBEsol", "state": "optimized geometry", "mass_density_g_cm3": 7.615, "raw_formation_energy_ev_per_atom": 1.324, "lattice": [[-0.8547, 2.8545, 3.0774], [-4.1766, -0.8908, -0.3337], [0.4176, -3.0671, 2.9610]], "species": ["Cl", "Tc", "Tc", "Tc", "P"], "frac_coords": [[0.0000, 0.0000, 0.0000], [0.5000, 0.0000, 0.0000], [0.0000, 0.5000, 0.0000], [0.0000, 0.0000, 0.5000], [0.5000, 0.5000, 0.5000]]}

***

(11)
{"formula": "CrNi2Rh", "functional": "GGA-PBEsol", "state": "optimized geometry", "mass_density_g_cm3": 9.920, "formation_enthalpy_0k_mev_per_atom": 9, "lattice": [[2.5532, 0.0000, 0.0000], [0.0000, 2.5532, 0.0000], [0.0000, 0.0000, 6.9920]], "species": ["Rh", "Ni", "Ni", "Cr"], "frac_coords": [[0.0000, 0.0000, 0.5036], [0.5000, 0.5000, 0.2389], [0.0000, 0.0000, 0.9971], [0.5000, 0.5000, 0.7605]]}

***

(12)
{"formula": "Mg3Cd", "functional": "GGA-PBEsol", "state": "optimized geometry", "mass_density_g_cm3": 3.491, "formation_enthalpy_0k_mev_per_atom": -63, "lattice": [[8.3939, 0.0000, 0.0000], [-4.1970, 7.2693, 0.0000], [0.0000, 0.0000, 8.6671]], "species": ["Cd", "Cd", "Cd", "Cd", "Cd", "Cd", "Mg", "Mg", "Mg", "Mg", "Mg", "Mg", "Mg", "Mg", "Mg", "Mg", "Mg", "Mg", "Mg", "Mg", "Mg", "Mg", "Mg", "Mg"], "frac_coords": [[0.3299, 0.3299, 0.4325], [0.0000, 0.6701, 0.4325], [0.6701, 0.0000, 0.4325], [0.6701, 0.6701, 0.9325], [0.3299, 0.0000, 0.9325], [0.0000, 0.3299, 0.9325], [0.6276, 0.6276, 0.5998], [0.3724, 0.0000, 0.5998], [0.0000, 0.0000, 0.0151], [0.2790, 0.0000, 0.2615], [0.7210, 0.7210, 0.2615], [0.6276, 0.0000, 0.0998], [0.0000, 0.6276, 0.0998], [0.2790, 0.2790, 0.7615], [0.3724, 0.3724, 0.0998], [0.0000, 0.0000, 0.5151], [0.3333, 0.6667, 0.3610], [0.7210, 0.0000, 0.7615], [0.0000, 0.7210, 0.7615], [0.0000, 0.3724, 0.5998], [0.6667, 0.3333, 0.3610], [0.6667, 0.3333, 0.8610], [0.0000, 0.2790, 0.2615], [0.3333, 0.6667, 0.8610]]}